1.
Compound: FeSiSb2
Source: the Alexandria database
Functional: SCAN
Structure: single point on PBEsol structure

abc: 4.8267 4.8267 3.2424
angles: 90.00 90.00 90.00
Space group P4/mmm (No. 123)
Unique sites:
Fe 0.0000 0.0000 0.0000 [1 per cell]
Si 0.5000 0.5000 0.0000 [1 per cell]
Sb 0.0000 0.5000 0.5000 [2 per cell]

- Final energy: -25.00 eV/atom
- Formation energy (no corrections): 256 kJ/mol of formula units
- Crystal system: tetragonal


2.
Compound: Fe3SiSb
Source: the Alexandria database
Functional: SCAN
Structure: single point on PBEsol structure

abc: 4.6248 4.6248 4.6248
angles: 90.00 90.00 90.00
Space group Pm-3m (No. 221)
Unique sites:
Fe 0.0000 0.0000 0.5000 [3 per cell]
Si 0.5000 0.5000 0.5000 [1 per cell]
Sb 0.0000 0.0000 0.0000 [1 per cell]

- Final energy: -18.86 eV/atom
- Formation energy (no corrections): 709 kJ/mol of formula units
- Crystal system: cubic


3.
Compound: FeSi2Sb
Source: the Alexandria database
Functional: SCAN
Structure: single point on PBEsol structure

abc: 4.2563 4.2563 6.6783
angles: 90.00 90.00 90.00
Space group I-4m2 (No. 119)
Unique sites:
Fe 0.0000 0.0000 0.0000 [2 per cell]
Si 0.0000 0.0000 0.5000 [2 per cell]
Si 0.0000 0.5000 0.2500 [2 per cell]
Sb 0.0000 0.5000 0.7500 [2 per cell]

- Final energy: -18.05 eV/atom
- Formation energy (no corrections): 313 kJ/mol of formula units
- Crystal system: tetragonal


4.
Compound: Ti2FeSiSb
Source: the Alexandria database
Functional: SCAN
Structure: single point on PBEsol structure

abc: 4.6147 4.6147 4.1791
angles: 90.00 90.00 90.00
Space group P4/mmm (No. 123)
Unique sites:
Ti 0.0000 0.5000 0.0000 [2 per cell]
Fe 0.0000 0.0000 0.5000 [1 per cell]
Si 0.0000 0.0000 0.0000 [1 per cell]
Sb 0.5000 0.5000 0.5000 [1 per cell]

- Final energy: -19.36 eV/atom
- Formation energy (no corrections): 65 kJ/mol of formula units
- Crystal system: tetragonal


5.
Compound: Sr2FeSb
Source: the Alexandria database
Functional: SCAN
Structure: single point on PBEsol structure

abc: 4.0279 5.0678 11.1592
angles: 90.00 90.00 90.00
Space group Imm2 (No. 44)
Unique sites:
Sr 0.0000 0.0000 0.0000 [2 per cell]
Sr 0.0000 0.5000 0.2115 [2 per cell]
Fe 0.0000 0.5000 0.7820 [2 per cell]
Sb 0.0000 0.0000 0.4303 [2 per cell]

- Final energy: -25.16 eV/atom
- Formation energy (no corrections): -66 kJ/mol of formula units
- Crystal system: orthorhombic


6.
Compound: SrFe4Sb12
Source: the Alexandria database
Functional: SCAN
Structure: single point on PBEsol structure

abc: 9.0815 9.0815 9.0815
angles: 90.00 90.00 90.00
Space group Im-3 (No. 204)
Unique sites:
Sr 0.0000 0.0000 0.0000 [2 per cell]
Fe 0.2500 0.2500 0.2500 [8 per cell]
Sb 0.0000 0.1635 0.3358 [24 per cell]

- Final energy: -32.03 eV/atom
- Formation energy (no corrections): -254 kJ/mol of formula units
- Crystal system: cubic


7.
Compound: SrFeSb2
Source: the Alexandria database
Functional: SCAN
Structure: single point on PBEsol structure

abc: 3.3724 3.3724 7.9101
angles: 90.00 90.00 90.00
Space group P4/mmm (No. 123)
Unique sites:
Sr 0.0000 0.0000 0.0000 [1 per cell]
Fe 0.0000 0.0000 0.5000 [1 per cell]
Sb 0.5000 0.5000 0.3086 [2 per cell]

- Final energy: -28.79 eV/atom
- Formation energy (no corrections): -22 kJ/mol of formula units
- Crystal system: tetragonal


8.
Compound: SrFeSb2
Source: the Alexandria database
Functional: SCAN
Structure: single point on PBEsol structure

abc: 4.5240 4.9677 4.9868
angles: 90.00 90.00 90.00
Space group Pmm2 (No. 25)
Unique sites:
Sr 0.0000 0.0000 0.0000 [1 per cell]
Fe 0.5000 0.5000 0.6702 [1 per cell]
Sb 0.5000 0.0000 0.5132 [1 per cell]
Sb 0.5000 0.5000 0.1590 [1 per cell]

- Final energy: -28.93 eV/atom
- Formation energy (no corrections): -76 kJ/mol of formula units
- Crystal system: orthorhombic